The following is a GGA-PBEsol calculation of a relaxed structure of MgAl2Tc, from Alexandria via LeMat-Bulk.

Output
Electronic total energy, eV per atom: -5.5197
Formation energy from the elements, meV/atom: -228

Structure (CIF):
```
data_MgAl2Tc
_cell_length_a 3.236
_cell_length_b 3.236
_cell_length_c 5.953
_cell_angle_alpha 90.00
_cell_angle_beta 90.00
_cell_angle_gamma 90.00
_space_group_name_H-M_alt 'P 4/m m m'
_space_group_IT_number 123
_space_group_name_Hall '-P 4 2'
loop_
_atom_site_label
_atom_site_type_symbol
_atom_site_fract_x
_atom_site_fract_y
_atom_site_fract_z
_atom_site_occupancy
Mg1 Mg 0.000 0.000 0.000 1
Al1 Al 0.500 0.500 0.285 1
Tc1 Tc 0.000 0.000 0.500 1
```